Record 1
## CuSiO2 (PBE)

Data for a geometry-optimized CuSiO2 structure.

For the theoretical density, the calculation gives 3.89 g/cm3. The calculation puts the uncorrected formation energy at -1353 meV per atom.

abc: 5.3026 5.3026 5.3026
angles: 60.00 60.00 60.00
With the nearest neighbours (Å) after each atom.
Positions (direct):
Cu  0.1250  0.1250  0.1250  12 O 3.11, 4 Cu 3.25, 4 Si 3.25
Cu  0.8750  0.8750  0.8750  12 O 3.11, 4 Si 3.25, 4 Cu 3.25
Si  0.3750  0.3750  0.3750  4 O 1.62
Si  0.6250  0.6250  0.6250  4 O 1.62
O  0.0000  0.5000  0.5000  2 Si 1.62
O  0.5000  0.0000  0.5000  2 Si 1.62
O  0.5000  0.5000  0.0000  2 Si 1.62
O  0.5000  0.5000  0.5000  2 Si 1.62

Record 2
## CuSiSn2O (PBE)

Data for a geometry-optimized CuSiSn2O structure.

For the theoretical density, the calculation gives 6.02 g/cm3. The calculation puts the uncorrected formation energy at -33 meV per atom.

abc: 5.0680 5.0680 3.7068
angles: 90.00 90.00 90.00
With the nearest neighbours (Å) after each atom.
Positions (direct):
Cu  0.0000  0.0000  0.0000  2 O 1.85
Si  0.5000  0.5000  0.0000  8 Sn 3.14
Sn  0.0000  0.5000  0.5000  2 O 2.53
Sn  0.5000  0.0000  0.5000  2 O 2.53
O  0.0000  0.0000  0.5000  2 Cu 1.85

Record 3
## SrCu2SiO4 (PBE)

Data for a geometry-optimized SrCu2SiO4 structure.

For the theoretical density, the calculation gives 5.01 g/cm3. The calculation puts the uncorrected formation energy at -1886 meV per atom.

abc: 5.1473 5.1473 5.1473
angles: 118.16 112.93 97.95
With the nearest neighbours (Å) after each atom.
Positions (direct):
Sr  0.0000  0.0000  0.0000  8 O 2.73-2.74
Cu  0.3097  0.8097  0.5000  2 O 1.96
Cu  0.6903  0.1903  0.5000  2 O 1.96
Si  0.5000  0.5000  0.0000  4 O 1.67
O  0.1872  0.1735  0.6543  1 Si 1.67
O  0.4808  0.8265  0.0137  1 Si 1.67
O  0.5192  0.5329  0.3457  1 Si 1.67
O  0.8128  0.4671  0.9863  1 Si 1.67

Record 4
## Sr2CuSi2O7 (PBE)

Data for a geometry-optimized Sr2CuSi2O7 structure.

For the theoretical density, the calculation gives 3.93 g/cm3. The calculation puts the uncorrected formation energy at -2569 meV per atom.

abc: 8.2062 8.2062 5.1107
angles: 90.00 90.00 90.00
With the nearest neighbours (Å) after each atom.
Positions (direct):
Sr  0.1665  0.3335  0.0089  8 O 2.58-2.88
Sr  0.3335  0.8335  0.9911  8 O 2.58-2.88
Sr  0.6665  0.1665  0.9911  8 O 2.58-2.88
Sr  0.8335  0.6665  0.0089  8 O 2.58-2.88
Cu  0.0000  0.0000  0.5000  4 O 1.95
Cu  0.5000  0.5000  0.5000  4 O 1.95
Si  0.1362  0.6362  0.5362  4 O 1.62-1.69
Si  0.3638  0.1362  0.4638  4 O 1.62-1.69
Si  0.6362  0.8638  0.4638  4 O 1.62-1.69
Si  0.8638  0.3638  0.5362  4 O 1.62-1.69
O  0.0000  0.5000  0.6522  2 Si 1.69
O  0.0815  0.8067  0.6793  1 Si 1.64
O  0.1351  0.6351  0.2202  1 Si 1.62
O  0.1933  0.0815  0.3207  1 Si 1.64
O  0.3067  0.5815  0.6793  1 Si 1.64
O  0.3649  0.1351  0.7798  1 Si 1.62
O  0.4185  0.3067  0.3207  1 Si 1.64
O  0.5000  0.0000  0.3478  2 Si 1.69
O  0.5815  0.6933  0.3207  1 Si 1.64
O  0.6351  0.8649  0.7798  1 Si 1.62
O  0.6933  0.4185  0.6793  1 Si 1.64
O  0.8067  0.9185  0.3207  1 Si 1.64
O  0.8649  0.3649  0.2202  1 Si 1.62
O  0.9185  0.1933  0.6793  1 Si 1.64

Record 5
## CuSiTcO6 (PBE)

Data for a geometry-optimized CuSiTcO6 structure.

For the theoretical density, the calculation gives 5.18 g/cm3. The calculation puts the uncorrected formation energy at -1448 meV per atom.

abc: 4.8844 4.8844 8.8654
angles: 90.00 90.00 120.00
With the nearest neighbours (Å) after each atom.
Positions (direct):
Cu  0.0000  0.0000  0.0000  6 O 2.14
Cu  0.0000  0.0000  0.5000  6 O 2.14
Si  0.3333  0.6667  0.2500  6 O 1.80
Si  0.6667  0.3333  0.7500  6 O 1.80
Tc  0.3333  0.6667  0.7500  6 O 1.92
Tc  0.6667  0.3333  0.2500  6 O 1.92
O  0.0196  0.3712  0.1366  1 Si 1.80, 1 Tc 1.92
O  0.0196  0.6484  0.3634  1 Si 1.80, 1 Tc 1.92
O  0.3516  0.3712  0.3634  1 Si 1.80, 1 Tc 1.92
O  0.3516  0.9804  0.1366  1 Si 1.80, 1 Tc 1.92
O  0.3712  0.0196  0.6366  1 Si 1.80, 1 Tc 1.92
O  0.3712  0.3516  0.8634  1 Si 1.80, 1 Tc 1.92
O  0.6288  0.6484  0.1366  1 Si 1.80, 1 Tc 1.92
O  0.6288  0.9804  0.3634  1 Si 1.80, 1 Tc 1.92
O  0.6484  0.0196  0.8634  1 Si 1.80, 1 Tc 1.92
O  0.6484  0.6288  0.6366  1 Si 1.80, 1 Tc 1.92
O  0.9804  0.3516  0.6366  1 Si 1.80, 1 Tc 1.92
O  0.9804  0.6288  0.8634  1 Si 1.80, 1 Tc 1.92

Record 6
## CuSiTeO6 (PBE)

Data for a geometry-optimized CuSiTeO6 structure.

For the theoretical density, the calculation gives 5.51 g/cm3. The calculation puts the uncorrected formation energy at -1326 meV per atom.

abc: 4.9266 4.9266 9.0368
angles: 90.00 90.00 120.00
With the nearest neighbours (Å) after each atom.
Positions (direct):
Cu  0.0000  0.0000  0.0000  6 O 2.17
Cu  0.0000  0.0000  0.5000  6 O 2.17
Si  0.3333  0.6667  0.2500  6 O 1.81
Si  0.6667  0.3333  0.7500  6 O 1.81
Te  0.3333  0.6667  0.7500  6 O 1.95
Te  0.6667  0.3333  0.2500  6 O 1.95
O  0.0214  0.3724  0.1370  1 Si 1.81, 1 Te 1.95
O  0.0214  0.6491  0.3630  1 Si 1.81, 1 Te 1.95
O  0.3509  0.3724  0.3630  1 Si 1.81, 1 Te 1.95
O  0.3509  0.9786  0.1370  1 Si 1.81, 1 Te 1.95
O  0.3724  0.0214  0.6370  1 Si 1.81, 1 Te 1.95
O  0.3724  0.3509  0.8630  1 Si 1.81, 1 Te 1.95
O  0.6276  0.6491  0.1370  1 Si 1.81, 1 Te 1.95
O  0.6276  0.9786  0.3630  1 Si 1.81, 1 Te 1.95
O  0.6491  0.0214  0.8630  1 Si 1.81, 1 Te 1.95
O  0.6491  0.6276  0.6370  1 Si 1.81, 1 Te 1.95
O  0.9786  0.3509  0.6370  1 Si 1.81, 1 Te 1.95
O  0.9786  0.6276  0.8630  1 Si 1.81, 1 Te 1.95

Record 7
## CuSiTe2O (PBE)

Data for a geometry-optimized CuSiTe2O structure.

For the theoretical density, the calculation gives 6.11 g/cm3. The calculation puts the uncorrected formation energy at 421 meV per atom.

abc: 4.9314 4.9314 4.0541
angles: 90.00 90.00 90.00
With the nearest neighbours (Å) after each atom.
Positions (direct):
Cu  0.0000  0.0000  0.0000  8 Te 3.19, 4 Si 3.49
Si  0.5000  0.5000  0.0000  2 O 2.03
Te  0.0000  0.5000  0.5000  2 O 2.47
Te  0.5000  0.0000  0.5000  2 O 2.47
O  0.5000  0.5000  0.5000  2 Si 2.03

Record 8
## TiCuSi2O (PBE)

Data for a geometry-optimized TiCuSi2O structure.

For the theoretical density, the calculation gives 3.58 g/cm3. The calculation puts the uncorrected formation energy at 718 meV per atom.

abc: 4.1400 4.1400 4.9661
angles: 90.00 90.00 90.00
With the nearest neighbours (Å) after each atom.
Positions (direct):
Ti  0.0000  0.0000  0.0000  2 Cu 2.48
Cu  0.0000  0.0000  0.5000  4 Si 2.07
Si  0.0000  0.5000  0.5000  2 Cu 2.07
Si  0.5000  0.0000  0.5000  2 Cu 2.07
O  0.5000  0.5000  0.0000  4 Ti 2.93, 8 Si 3.23

Record 9
## U2CuSi2O18 (PBE)

Data for a geometry-optimized U2CuSi2O18 structure.

For the theoretical density, the calculation gives 3.85 g/cm3. The calculation puts the uncorrected formation energy at -1302 meV per atom.

abc: 6.8813 7.1201 8.2440
angles: 79.05 74.23 88.73
With the nearest neighbours (Å) after each atom.
Positions (direct):
U  0.1464  0.2523  0.4869  2 O 1.83
U  0.8536  0.7477  0.5131  2 O 1.83
Cu  0.5000  0.5000  0.0000  2 O 1.75
Si  0.3346  0.7546  0.4520  3 O 1.58-1.62
Si  0.6654  0.2454  0.5480  3 O 1.58-1.62
O  0.0097  0.8558  0.0019  2 O 2.05-2.15
O  0.0729  0.1943  0.7223  1 U 1.83
O  0.1783  0.5723  0.5038  1 Si 1.62
O  0.1895  0.9339  0.4707  1 Si 1.61
O  0.2132  0.3185  0.2528  1 U 1.83
O  0.3408  0.6728  0.9305  1 Cu 1.75
O  0.4120  0.7666  0.2181  1 O 1.33
O  0.4554  0.3654  0.8256  1 O 1.33
O  0.4662  0.2548  0.4859  1 Si 1.58
O  0.5338  0.7452  0.5141  1 Si 1.58
O  0.5446  0.6346  0.1744  1 O 1.33
O  0.5880  0.2334  0.7819  1 O 1.33
O  0.6592  0.3272  0.0695  1 Cu 1.75
O  0.7868  0.6815  0.7472  1 U 1.83
O  0.8105  0.0661  0.5293  1 Si 1.61
O  0.8217  0.4277  0.4962  1 Si 1.62
O  0.9271  0.8057  0.2777  1 U 1.83
O  0.9903  0.1442  0.9981  2 O 2.05-2.15

Record 10
## U2CuSi2O17 (PBE)

Data for a geometry-optimized U2CuSi2O17 structure.

For the theoretical density, the calculation gives 4.19 g/cm3. The calculation puts the uncorrected formation energy at -1462 meV per atom.

abc: 6.8572 7.0630 7.6085
angles: 75.82 74.39 88.49
With the nearest neighbours (Å) after each atom.
Positions (direct):
U  0.1383  0.2418  0.0052  2 O 1.82-1.91
U  0.8617  0.7582  0.9948  2 O 1.82-1.91
Cu  0.5000  0.5000  0.5000  4 O 1.75-1.91
Si  0.3420  0.7557  0.9344  3 O 1.60-1.63
Si  0.6580  0.2443  0.0656  3 O 1.60-1.63
O  0.0000  0.0000  0.5000  2 O 1.74
O  0.0636  0.1513  0.2735  1 O 1.74, 1 U 1.91
O  0.1855  0.5679  0.9931  1 Si 1.62
O  0.1863  0.9292  0.9674  1 Si 1.63
O  0.1947  0.3132  0.7498  1 U 1.82
O  0.3450  0.5265  0.3473  1 Cu 1.75
O  0.3587  0.7046  0.5973  1 O 1.36
O  0.4579  0.2404  0.9963  1 Si 1.60
O  0.4681  0.7814  0.6896  1 O 1.36
O  0.5319  0.2186  0.3104  1 O 1.36
O  0.5421  0.7596  0.0037  1 Si 1.60
O  0.6413  0.2954  0.4027  1 O 1.36
O  0.6550  0.4735  0.6527  1 Cu 1.75
O  0.8053  0.6868  0.2502  1 U 1.82
O  0.8137  0.0708  0.0326  1 Si 1.63
O  0.8145  0.4321  0.0069  1 Si 1.62
O  0.9364  0.8487  0.7265  1 O 1.74, 1 U 1.91

Record 11
## Zn3Cu2Si4O14 (PBE)

Data for a geometry-optimized Zn3Cu2Si4O14 structure.

For the theoretical density, the calculation gives 3.86 g/cm3. The calculation puts the uncorrected formation energy at -1852 meV per atom.

abc: 9.6239 9.6239 10.0389
angles: 121.24 121.24 47.86
With the nearest neighbours (Å) after each atom.
Positions (direct):
Zn  0.1073  0.8927  0.7500  4 O 1.99-2.03
Zn  0.2869  0.4495  0.5846  3 O 1.86-2.04
Zn  0.4495  0.2869  0.0846  3 O 1.86-2.04
Zn  0.5505  0.7131  0.9154  3 O 1.86-2.04
Zn  0.7131  0.5505  0.4154  3 O 1.86-2.04
Zn  0.8927  0.1073  0.2500  4 O 1.99-2.03
Cu  0.2671  0.7329  0.2500  4 O 1.83-1.89
Cu  0.5000  0.5000  0.0000  4 O 1.85-1.94
Cu  0.5000  0.5000  0.5000  4 O 1.85-1.94
Cu  0.7329  0.2671  0.7500  4 O 1.83-1.89
Si  0.0019  0.2370  0.6319  4 O 1.65
Si  0.0808  0.5607  0.8216  4 O 1.60-1.67
Si  0.2370  0.0019  0.1319  4 O 1.65
Si  0.4393  0.9192  0.6784  4 O 1.60-1.67
Si  0.5607  0.0808  0.3216  4 O 1.60-1.67
Si  0.7630  0.9981  0.8681  4 O 1.65
Si  0.9192  0.4393  0.1784  4 O 1.60-1.67
Si  0.9981  0.7630  0.3681  4 O 1.65
O  0.0051  0.4267  0.7747  2 Si 1.64-1.65
O  0.0372  0.8538  0.2991  1 Si 1.65
O  0.0730  0.2150  0.0920  2 Si 1.64-1.65
O  0.0866  0.5643  0.6673  1 Si 1.60
O  0.1462  0.9628  0.2009  1 Si 1.65
O  0.1624  0.7052  0.5381  1 Si 1.65
O  0.2150  0.0730  0.5920  2 Si 1.64-1.65
O  0.2948  0.8376  0.9619  1 Si 1.65
O  0.2972  0.4724  0.9572  1 Si 1.67
O  0.3733  0.5077  0.2864  2 Cu 1.83-1.85, 1 Zn 2.04
O  0.4267  0.0051  0.2747  2 Si 1.64-1.65
O  0.4357  0.9134  0.8327  1 Si 1.60
O  0.4724  0.2972  0.4572  1 Si 1.67
O  0.4923  0.6267  0.2136  2 Cu 1.83-1.85, 1 Zn 2.04
O  0.5077  0.3733  0.7864  2 Cu 1.83-1.85, 1 Zn 2.04
O  0.5276  0.7028  0.5428  1 Si 1.67
O  0.5643  0.0866  0.1673  1 Si 1.60
O  0.5733  0.9949  0.7253  2 Si 1.64-1.65
O  0.6267  0.4923  0.7136  2 Cu 1.83-1.85, 1 Zn 2.04
O  0.7028  0.5276  0.0428  1 Si 1.67
O  0.7052  0.1624  0.0381  1 Si 1.65
O  0.7850  0.9270  0.4080  2 Si 1.64-1.65
O  0.8376  0.2948  0.4619  1 Si 1.65
O  0.8538  0.0372  0.7991  1 Si 1.65
O  0.9134  0.4357  0.3327  1 Si 1.60
O  0.9270  0.7850  0.9080  2 Si 1.64-1.65
O  0.9628  0.1462  0.7009  1 Si 1.65
O  0.9949  0.5733  0.2253  2 Si 1.64-1.65

Record 12
## ZnCuSi4O10 (PBE)

Data for a geometry-optimized ZnCuSi4O10 structure.

For the theoretical density, the calculation gives 3.41 g/cm3. The calculation puts the uncorrected formation energy at -2266 meV per atom.

abc: 7.2336 7.2336 14.9597
angles: 90.00 90.00 90.00
With the nearest neighbours (Å) after each atom.
Positions (direct):
Zn  0.2500  0.7500  0.0000  4 O 2.13
Zn  0.2500  0.7500  0.5000  4 O 2.13
Zn  0.7500  0.2500  0.0000  4 O 2.13
Zn  0.7500  0.2500  0.5000  4 O 2.13
Cu  0.2500  0.2500  0.0719  4 O 2.00
Cu  0.2500  0.2500  0.5719  4 O 2.00
Cu  0.7500  0.7500  0.4281  4 O 2.00
Cu  0.7500  0.7500  0.9281  4 O 2.00
Si  0.0110  0.5866  0.1448  4 O 1.62-1.63
Si  0.0110  0.9134  0.6448  4 O 1.62-1.63
Si  0.0866  0.5110  0.3552  4 O 1.62-1.63
Si  0.0866  0.9890  0.8552  4 O 1.62-1.63
Si  0.4134  0.5110  0.8552  4 O 1.62-1.63
Si  0.4134  0.9890  0.3552  4 O 1.62-1.63
Si  0.4890  0.5866  0.6448  4 O 1.62-1.63
Si  0.4890  0.9134  0.1448  4 O 1.62-1.63
Si  0.5110  0.0866  0.8552  4 O 1.62-1.63
Si  0.5110  0.4134  0.3552  4 O 1.62-1.63
Si  0.5866  0.0110  0.6448  4 O 1.62-1.63
Si  0.5866  0.4890  0.1448  4 O 1.62-1.63
Si  0.9134  0.0110  0.1448  4 O 1.62-1.63
Si  0.9134  0.4890  0.6448  4 O 1.62-1.63
Si  0.9890  0.0866  0.3552  4 O 1.62-1.63
Si  0.9890  0.4134  0.8552  4 O 1.62-1.63
O  0.0016  0.6919  0.6250  2 Si 1.63
O  0.0016  0.8081  0.1250  2 Si 1.63
O  0.0134  0.6677  0.4246  1 Si 1.63
O  0.0134  0.8323  0.9246  1 Si 1.63
O  0.0572  0.5572  0.2500  2 Si 1.62
O  0.0572  0.9428  0.7500  2 Si 1.62
O  0.1677  0.5134  0.0754  1 Si 1.63
O  0.1677  0.9866  0.5754  1 Si 1.63
O  0.1919  0.5016  0.8750  2 Si 1.63
O  0.1919  0.9984  0.3750  2 Si 1.63
O  0.3081  0.5016  0.3750  2 Si 1.63
O  0.3081  0.9984  0.8750  2 Si 1.63
O  0.3323  0.5134  0.5754  1 Si 1.63
O  0.3323  0.9866  0.0754  1 Si 1.63
O  0.4428  0.5572  0.7500  2 Si 1.62
O  0.4428  0.9428  0.2500  2 Si 1.62
O  0.4866  0.6677  0.9246  1 Si 1.63
O  0.4866  0.8323  0.4246  1 Si 1.63
O  0.4984  0.6919  0.1250  2 Si 1.63
O  0.4984  0.8081  0.6250  2 Si 1.63
O  0.5016  0.1919  0.3750  2 Si 1.63
O  0.5016  0.3081  0.8750  2 Si 1.63
O  0.5134  0.1677  0.5754  1 Si 1.63
O  0.5134  0.3323  0.0754  1 Si 1.63
O  0.5572  0.0572  0.7500  2 Si 1.62
O  0.5572  0.4428  0.2500  2 Si 1.62
O  0.6677  0.0134  0.9246  1 Si 1.63
O  0.6677  0.4866  0.4246  1 Si 1.63
O  0.6919  0.0016  0.1250  2 Si 1.63
O  0.6919  0.4984  0.6250  2 Si 1.63
O  0.8081  0.0016  0.6250  2 Si 1.63
O  0.8081  0.4984  0.1250  2 Si 1.63
O  0.8323  0.0134  0.4246  1 Si 1.63
O  0.8323  0.4866  0.9246  1 Si 1.63
O  0.9428  0.0572  0.2500  2 Si 1.62
O  0.9428  0.4428  0.7500  2 Si 1.62
O  0.9866  0.1677  0.0754  1 Si 1.63
O  0.9866  0.3323  0.5754  1 Si 1.63
O  0.9984  0.1919  0.8750  2 Si 1.63
O  0.9984  0.3081  0.3750  2 Si 1.63